VASP calculation (PBEsol) on a relaxed structure of MgRhN2F.

Energy relative to the elements, uncorrected in eV per formula unit: 0.3

Unit cell a=3.773 b=3.773 c=4.303 alpha=90.00 beta=90.00 gamma=90.00
Space group P4/mmm (No. 123)
Symmetry-distinct sites (fractional):
Mg (0.000, 0.000, 0.000) [1 per cell]
Rh (0.500, 0.500, 0.500) [1 per cell]
N (0.000, 0.500, 0.500) [2 per cell]
F (0.500, 0.500, 0.000) [1 per cell]